# La5Sc3

Crystalline La5Sc3 at its relaxed geometry (PBE-GGA, the Alexandria database).

a b c (Å): 7.0462 7.0462 5.0996
angles (deg): 90.00 90.00 88.15
Sites, in units of the cell vectors:
La  0.0000  0.0000  0.0000
La  0.0000  0.5000  0.0000
La  0.5000  0.0000  0.0000
La  0.7416  0.2584  0.5000
La  0.2584  0.7416  0.5000
Sc  0.5000  0.5000  0.0000
Sc  0.2543  0.2543  0.5000
Sc  0.7457  0.7457  0.5000

Values from the calculation:
SG: No. 65
DFT total energy: -5.398 eV per atom
ΔE_f: 0.056 eV/atom